Model A:
{"formula": "Y2BeCl", "functional": "PBE", "state": "relaxed", "lattice_angstrom": [[3.8428, 0.0000, 0.0000], [-1.9214, 3.3280, 0.0000], [0.0000, 0.0000, 21.3363]], "species": ["Y", "Y", "Y", "Y", "Y", "Y", "Be", "Be", "Be", "Cl", "Cl", "Cl"], "frac_coords": [[0.0000, 0.0000, 0.2419], [0.0000, 0.0000, 0.7581], [0.3333, 0.6667, 0.4248], [0.3333, 0.6667, 0.9086], [0.6667, 0.3333, 0.0914], [0.6667, 0.3333, 0.5752], [0.0000, 0.0000, 0.5000], [0.3333, 0.6667, 0.1667], [0.6667, 0.3333, 0.8333], [0.0000, 0.0000, 0.0000], [0.3333, 0.6667, 0.6667], [0.6667, 0.3333, 0.3333]], "volume_a3_per_atom": 22.7}


Model B:
{"formula": "Y2BeCl", "functional": "PBE", "state": "relaxed", "lattice_angstrom": [[5.9220, 0.0000, 0.0000], [0.0000, 5.9220, 0.0000], [0.0000, 0.0000, 13.2038]], "species": ["Y", "Y", "Y", "Y", "Y", "Y", "Y", "Y", "Be", "Be", "Be", "Be", "Cl", "Cl", "Cl", "Cl"], "frac_coords": [[0.2296, 0.2500, 0.1250], [0.2500, 0.7296, 0.3750], [0.2500, 0.7704, 0.8750], [0.2704, 0.2500, 0.6250], [0.7296, 0.7500, 0.6250], [0.7500, 0.2296, 0.8750], [0.7500, 0.2704, 0.3750], [0.7704, 0.7500, 0.1250], [0.0000, 0.0000, 0.0000], [0.0000, 0.5000, 0.2500], [0.5000, 0.0000, 0.7500], [0.5000, 0.5000, 0.5000], [0.0000, 0.0000, 0.5000], [0.0000, 0.5000, 0.7500], [0.5000, 0.0000, 0.2500], [0.5000, 0.5000, 0.0000]], "volume_a3_per_atom": 28.9}


Which of them is the most stable? Correct choice: model A.


Model A:
{"formula": "YBeCl3", "functional": "PBE", "state": "relaxed", "lattice_angstrom": [[4.5566, 0.0000, 0.0000], [0.0000, 4.5566, 0.0000], [0.0000, 0.0000, 4.5566]], "species": ["Y", "Be", "Cl", "Cl", "Cl"], "frac_coords": [[0.0000, 0.0000, 0.0000], [0.5000, 0.5000, 0.5000], [0.0000, 0.5000, 0.5000], [0.5000, 0.0000, 0.5000], [0.5000, 0.5000, 0.0000]], "volume_a3_per_atom": 18.9}


Model B:
{"formula": "YBeCl3", "functional": "PBE", "state": "relaxed", "lattice_angstrom": [[5.3234, 0.0000, 0.0000], [0.0000, 5.3234, 0.0000], [0.0000, 0.0000, 5.3234]], "species": ["Y", "Be", "Cl", "Cl", "Cl"], "frac_coords": [[0.0000, 0.0000, 0.0000], [0.5000, 0.5000, 0.5000], [0.0000, 0.0000, 0.5000], [0.0000, 0.5000, 0.0000], [0.5000, 0.0000, 0.0000]], "volume_a3_per_atom": 30.2}


Which of them is the most stable? Correct choice: model B.


Model A:
{"formula": "Zr2BeCl", "functional": "PBE", "state": "relaxed", "lattice_angstrom": [[4.4793, 0.0000, 0.0000], [0.0000, 3.1016, 0.0000], [0.0000, 0.0000, 9.9375]], "species": ["Zr", "Zr", "Zr", "Zr", "Be", "Be", "Cl", "Cl"], "frac_coords": [[0.0000, 0.0000, 0.0000], [0.0000, 0.5000, 0.5000], [0.5000, 0.0000, 0.2661], [0.5000, 0.5000, 0.7661], [0.5000, 0.0000, 0.5250], [0.5000, 0.5000, 0.0250], [0.0000, 0.0000, 0.7334], [0.0000, 0.5000, 0.2334]], "volume_a3_per_atom": 17.3}


Model B:
{"formula": "Zr2BeCl", "functional": "PBE", "state": "relaxed", "lattice_angstrom": [[3.1263, 0.0000, 0.0000], [0.0000, 3.1263, 0.0000], [0.0000, 0.0000, 9.4839]], "species": ["Zr", "Zr", "Be", "Cl"], "frac_coords": [[0.0000, 0.0000, 0.0000], [0.5000, 0.5000, 0.2586], [0.0000, 0.0000, 0.4201], [0.5000, 0.5000, 0.8266]], "volume_a3_per_atom": 23.2}


Model C:
{"formula": "Zr2BeCl", "functional": "PBE", "state": "relaxed", "lattice_angstrom": [[5.5053, 0.0000, 0.0000], [0.0000, 5.5053, 0.0000], [0.0000, 0.0000, 12.0060]], "species": ["Zr", "Zr", "Zr", "Zr", "Zr", "Zr", "Zr", "Zr", "Be", "Be", "Be", "Be", "Cl", "Cl", "Cl", "Cl"], "frac_coords": [[0.2150, 0.2500, 0.1250], [0.2500, 0.7150, 0.3750], [0.2500, 0.7850, 0.8750], [0.2850, 0.2500, 0.6250], [0.7150, 0.7500, 0.6250], [0.7500, 0.2150, 0.8750], [0.7500, 0.2850, 0.3750], [0.7850, 0.7500, 0.1250], [0.0000, 0.0000, 0.0000], [0.0000, 0.5000, 0.2500], [0.5000, 0.0000, 0.7500], [0.5000, 0.5000, 0.5000], [0.0000, 0.0000, 0.5000], [0.0000, 0.5000, 0.7500], [0.5000, 0.0000, 0.2500], [0.5000, 0.5000, 0.0000]], "volume_a3_per_atom": 22.7}


Model D:
{"formula": "Zr2BeCl", "functional": "PBE", "state": "relaxed", "lattice_angstrom": [[3.2942, 0.0000, 0.0000], [-1.6471, 2.8529, 0.0000], [0.0000, 0.0000, 29.2103]], "species": ["Zr", "Zr", "Zr", "Zr", "Zr", "Zr", "Be", "Be", "Be", "Cl", "Cl", "Cl"], "frac_coords": [[0.0000, 0.0000, 0.0000], [0.0000, 0.0000, 0.2473], [0.3333, 0.6667, 0.6667], [0.3333, 0.6667, 0.9139], [0.6667, 0.3333, 0.3333], [0.6667, 0.3333, 0.5806], [0.0000, 0.0000, 0.7324], [0.3333, 0.6667, 0.3990], [0.6667, 0.3333, 0.0657], [0.0000, 0.0000, 0.5184], [0.3333, 0.6667, 0.1851], [0.6667, 0.3333, 0.8518]], "volume_a3_per_atom": 22.9}


Which of them is the most stable? Correct choice: model A.


Model A:
{"formula": "Zr2BeCl", "functional": "PBE", "state": "relaxed", "lattice_angstrom": [[6.6479, 0.0000, 0.0000], [0.0000, 7.1320, 0.0000], [-0.8248, 0.0000, 2.9604]], "species": ["Zr", "Zr", "Zr", "Zr", "Be", "Be", "Cl", "Cl"], "frac_coords": [[0.2500, 0.2500, 0.0000], [0.2500, 0.7500, 0.0000], [0.7500, 0.2500, 0.0000], [0.7500, 0.7500, 0.0000], [0.0000, 0.0000, 0.5000], [0.5000, 0.5000, 0.5000], [0.0000, 0.5000, 0.5000], [0.5000, 0.0000, 0.5000]], "volume_a3_per_atom": 17.5}


Model B:
{"formula": "Zr2BeCl", "functional": "PBE", "state": "relaxed", "lattice_angstrom": [[3.2529, 0.0000, 0.0000], [0.0000, 4.2788, 0.0000], [0.0000, 0.0000, 5.4533]], "species": ["Zr", "Zr", "Be", "Cl"], "frac_coords": [[0.0000, 0.0000, 0.0000], [0.5000, 0.0000, 0.5000], [0.0000, 0.5000, 0.5000], [0.5000, 0.5000, 0.0000]], "volume_a3_per_atom": 19.0}


Which of them is the most stable? Correct choice: model A.


Model A:
{"formula": "Zr2BeCl", "functional": "PBE", "state": "relaxed", "lattice_angstrom": [[3.9085, 0.0000, 0.0000], [0.0000, 5.1692, 0.0000], [0.0000, 0.0000, 7.1107]], "species": ["Zr", "Zr", "Zr", "Zr", "Be", "Be", "Cl", "Cl"], "frac_coords": [[0.0000, 0.0000, 0.2494], [0.0000, 0.0000, 0.7506], [0.5000, 0.5000, 0.2506], [0.5000, 0.5000, 0.7494], [0.0000, 0.5000, 0.0000], [0.5000, 0.0000, 0.5000], [0.0000, 0.5000, 0.5000], [0.5000, 0.0000, 0.0000]], "volume_a3_per_atom": 18.0}


Model B:
{"formula": "Zr2BeCl", "functional": "PBE", "state": "relaxed", "lattice_angstrom": [[6.6610, 0.0000, 0.0000], [0.0000, 6.6610, 0.0000], [0.0000, 0.0000, 6.6610]], "species": ["Zr", "Zr", "Zr", "Zr", "Zr", "Zr", "Zr", "Zr", "Be", "Be", "Be", "Be", "Cl", "Cl", "Cl", "Cl"], "frac_coords": [[0.0000, 0.0000, 0.0000], [0.0000, 0.5000, 0.5000], [0.2500, 0.2500, 0.2500], [0.2500, 0.7500, 0.7500], [0.5000, 0.0000, 0.5000], [0.5000, 0.5000, 0.0000], [0.7500, 0.2500, 0.7500], [0.7500, 0.7500, 0.2500], [0.0000, 0.0000, 0.5000], [0.0000, 0.5000, 0.0000], [0.5000, 0.0000, 0.0000], [0.5000, 0.5000, 0.5000], [0.2500, 0.2500, 0.7500], [0.2500, 0.7500, 0.2500], [0.7500, 0.2500, 0.2500], [0.7500, 0.7500, 0.7500]], "volume_a3_per_atom": 18.5}


Model C:
{"formula": "Zr2BeCl", "functional": "PBE", "state": "relaxed", "lattice_angstrom": [[3.6693, 0.0000, 0.0000], [-1.8347, 3.1777, 0.0000], [0.0000, 0.0000, 19.3143]], "species": ["Zr", "Zr", "Zr", "Zr", "Zr", "Zr", "Be", "Be", "Be", "Cl", "Cl", "Cl"], "frac_coords": [[0.0000, 0.0000, 0.2336], [0.0000, 0.0000, 0.7664], [0.3333, 0.6667, 0.4330], [0.3333, 0.6667, 0.9003], [0.6667, 0.3333, 0.0997], [0.6667, 0.3333, 0.5670], [0.0000, 0.0000, 0.5000], [0.3333, 0.6667, 0.1667], [0.6667, 0.3333, 0.8333], [0.0000, 0.0000, 0.0000], [0.3333, 0.6667, 0.6667], [0.6667, 0.3333, 0.3333]], "volume_a3_per_atom": 18.8}


Model D:
{"formula": "Zr2BeCl", "functional": "PBE", "state": "relaxed", "lattice_angstrom": [[3.8198, 0.0000, 0.0000], [0.0000, 3.8198, 0.0000], [0.0000, 0.0000, 9.9832]], "species": ["Zr", "Zr", "Zr", "Zr", "Be", "Be", "Cl", "Cl"], "frac_coords": [[0.0000, 0.0000, 0.0000], [0.0000, 0.5000, 0.2500], [0.5000, 0.0000, 0.7500], [0.5000, 0.5000, 0.5000], [0.0000, 0.5000, 0.7500], [0.5000, 0.0000, 0.2500], [0.0000, 0.0000, 0.5000], [0.5000, 0.5000, 0.0000]], "volume_a3_per_atom": 18.2}


Which of them is the most stable? Correct choice: model C.


Model A:
{"formula": "ZrBeCl3", "functional": "PBE", "state": "relaxed", "lattice_angstrom": [[4.5209, 0.0000, 0.0000], [0.0000, 4.5209, 0.0000], [0.0000, 0.0000, 4.5209]], "species": ["Zr", "Be", "Cl", "Cl", "Cl"], "frac_coords": [[0.0000, 0.0000, 0.0000], [0.5000, 0.5000, 0.5000], [0.0000, 0.5000, 0.5000], [0.5000, 0.0000, 0.5000], [0.5000, 0.5000, 0.0000]], "volume_a3_per_atom": 18.5}


Model B:
{"formula": "ZrBeCl3", "functional": "PBE", "state": "relaxed", "lattice_angstrom": [[5.0801, 0.0000, 0.0000], [0.0000, 5.0801, 0.0000], [0.0000, 0.0000, 5.0801]], "species": ["Zr", "Be", "Cl", "Cl", "Cl"], "frac_coords": [[0.0000, 0.0000, 0.0000], [0.5000, 0.5000, 0.5000], [0.0000, 0.0000, 0.5000], [0.0000, 0.5000, 0.0000], [0.5000, 0.0000, 0.0000]], "volume_a3_per_atom": 26.2}


Which of them is the most stable? Correct choice: model B.


Model A:
{"formula": "Be3Co4", "functional": "PBE", "state": "relaxed", "lattice_angstrom": [[2.5952, 0.0000, 0.0000], [0.0000, 2.5952, 0.0000], [0.0000, 0.0000, 19.1896]], "species": ["Be", "Be", "Be", "Be", "Be", "Be", "Co", "Co", "Co", "Co", "Co", "Co", "Co", "Co"], "frac_coords": [[0.0000, 0.0000, 0.0000], [0.0000, 0.0000, 0.2812], [0.0000, 0.0000, 0.7188], [0.5000, 0.5000, 0.2188], [0.5000, 0.5000, 0.5000], [0.5000, 0.5000, 0.7812], [0.0000, 0.0000, 0.1511], [0.0000, 0.0000, 0.4298], [0.0000, 0.0000, 0.5702], [0.0000, 0.0000, 0.8489], [0.5000, 0.5000, 0.0702], [0.5000, 0.5000, 0.3489], [0.5000, 0.5000, 0.6511], [0.5000, 0.5000, 0.9298]], "volume_a3_per_atom": 9.2}


Model B:
{"formula": "Be3Co4", "functional": "PBE", "state": "relaxed", "lattice_angstrom": [[4.1881, 0.0000, 0.0000], [-2.0941, 3.6270, 0.0000], [0.0000, 0.0000, 4.3438]], "species": ["Be", "Be", "Be", "Co", "Co", "Co", "Co"], "frac_coords": [[0.0000, 0.5000, 0.0000], [0.5000, 0.0000, 0.0000], [0.5000, 0.5000, 0.0000], [0.0000, 0.0000, 0.2516], [0.0000, 0.0000, 0.7484], [0.3333, 0.6667, 0.5000], [0.6667, 0.3333, 0.5000]], "volume_a3_per_atom": 9.4}


Model C:
{"formula": "Be3Co4", "functional": "PBE", "state": "relaxed", "lattice_angstrom": [[1.8289, 1.0559, 5.7453], [-1.8289, 1.0559, 5.7453], [0.0000, -2.1119, 5.7453]], "species": ["Be", "Be", "Be", "Co", "Co", "Co", "Co"], "frac_coords": [[0.0000, 0.0000, 0.0000], [0.2591, 0.2591, 0.2591], [0.7409, 0.7409, 0.7409], [0.1327, 0.1327, 0.1327], [0.3842, 0.3842, 0.3842], [0.6158, 0.6158, 0.6158], [0.8673, 0.8673, 0.8673]], "volume_a3_per_atom": 9.5}


Which of them is the most stable? Correct choice: model A.


Model A:
{"formula": "BeCo5", "functional": "PBE", "state": "relaxed", "lattice_angstrom": [[8.5124, 0.0000, 0.0000], [0.0000, 2.6131, 0.0000], [-2.0482, 0.0000, 5.5380]], "species": ["Be", "Be", "Co", "Co", "Co", "Co", "Co", "Co", "Co", "Co", "Co", "Co"], "frac_coords": [[0.0000, 0.0000, 0.0000], [0.5000, 0.5000, 0.0000], [0.1520, 0.5000, 0.8478], [0.1718, 0.5000, 0.3183], [0.3278, 0.0000, 0.6811], [0.3470, 0.0000, 0.1503], [0.4994, 0.5000, 0.4990], [0.6520, 0.0000, 0.8478], [0.6718, 0.0000, 0.3183], [0.8278, 0.5000, 0.6811], [0.8470, 0.5000, 0.1503], [0.9994, 0.0000, 0.4990]], "volume_a3_per_atom": 10.3}


Model B:
{"formula": "BeCo5", "functional": "PBE", "state": "relaxed", "lattice_angstrom": [[3.5277, 0.0000, 0.0000], [0.0000, 10.0474, 0.0000], [0.0000, 0.0000, 3.5192]], "species": ["Be", "Be", "Co", "Co", "Co", "Co", "Co", "Co", "Co", "Co", "Co", "Co"], "frac_coords": [[0.0000, 0.0000, 0.0000], [0.5000, 0.5000, 0.0000], [0.0000, 0.1632, 0.5000], [0.0000, 0.3336, 0.0000], [0.0000, 0.5000, 0.5000], [0.0000, 0.6664, 0.0000], [0.0000, 0.8368, 0.5000], [0.5000, 0.0000, 0.5000], [0.5000, 0.1664, 0.0000], [0.5000, 0.3368, 0.5000], [0.5000, 0.6632, 0.5000], [0.5000, 0.8336, 0.0000]], "volume_a3_per_atom": 10.4}


Which of them is the most stable? Correct choice: model A.


Model A:
{"formula": "BeCo5", "functional": "PBE", "state": "relaxed", "lattice_angstrom": [[3.9702, 0.0000, 0.0000], [0.0000, 2.4768, 0.0000], [0.0000, 0.0000, 12.5915]], "species": ["Be", "Be", "Co", "Co", "Co", "Co", "Co", "Co", "Co", "Co", "Co", "Co"], "frac_coords": [[0.0000, 0.0000, 0.0000], [0.0000, 0.5000, 0.5000], [0.0000, 0.0000, 0.3340], [0.0000, 0.0000, 0.6612], [0.0000, 0.5000, 0.1612], [0.0000, 0.5000, 0.8340], [0.5000, 0.0000, 0.2199], [0.5000, 0.0000, 0.5502], [0.5000, 0.0000, 0.8893], [0.5000, 0.5000, 0.0502], [0.5000, 0.5000, 0.3893], [0.5000, 0.5000, 0.7199]], "volume_a3_per_atom": 10.3}


Model B:
{"formula": "BeCo5", "functional": "PBE", "state": "relaxed", "lattice_angstrom": [[2.5235, 0.0000, 0.0000], [0.0000, 2.5235, 0.0000], [0.0000, 0.0000, 9.6063]], "species": ["Be", "Co", "Co", "Co", "Co", "Co"], "frac_coords": [[0.0000, 0.0000, 0.0000], [0.0000, 0.0000, 0.3177], [0.0000, 0.0000, 0.6823], [0.5000, 0.5000, 0.1451], [0.5000, 0.5000, 0.5000], [0.5000, 0.5000, 0.8549]], "volume_a3_per_atom": 10.2}


Model C:
{"formula": "BeCo5", "functional": "PBE", "state": "relaxed", "lattice_angstrom": [[4.2433, 0.0000, 0.0000], [-2.1217, 3.6748, 0.0000], [0.0000, 0.0000, 3.9910]], "species": ["Be", "Co", "Co", "Co", "Co", "Co"], "frac_coords": [[0.0000, 0.0000, 0.0000], [0.0000, 0.6770, 0.5000], [0.3230, 0.3230, 0.5000], [0.3333, 0.6667, 0.0000], [0.6667, 0.3333, 0.0000], [0.6770, 0.0000, 0.5000]], "volume_a3_per_atom": 10.4}


Model D:
{"formula": "BeCo5", "functional": "PBE", "state": "relaxed", "lattice_angstrom": [[0.0000, 3.2447, 3.2447], [3.2447, 0.0000, 3.2447], [3.2447, 3.2447, 0.0000]], "species": ["Be", "Co", "Co", "Co", "Co", "Co"], "frac_coords": [[0.0000, 0.0000, 0.0000], [0.3746, 0.3746, 0.3746], [0.3746, 0.3746, 0.8763], [0.3746, 0.8763, 0.3746], [0.7500, 0.7500, 0.7500], [0.8763, 0.3746, 0.3746]], "volume_a3_per_atom": 11.4}


Which of them is the most stable? Correct choice: model B.


Model A:
{"formula": "Be2CrCo", "functional": "PBE", "state": "relaxed", "lattice_angstrom": [[2.5558, 0.0000, 0.0000], [0.0000, 2.5558, 0.0000], [0.0000, 0.0000, 5.6878]], "species": ["Be", "Be", "Cr", "Co"], "frac_coords": [[0.0000, 0.0000, 0.0000], [0.5000, 0.5000, 0.2138], [0.5000, 0.5000, 0.7226], [0.0000, 0.0000, 0.4426]], "volume_a3_per_atom": 9.3}


Model B:
{"formula": "Be2CrCo", "functional": "PBE", "state": "relaxed", "lattice_angstrom": [[2.4494, 0.0000, 0.0000], [-1.2247, 2.1213, 0.0000], [0.0000, 0.0000, 22.6084]], "species": ["Be", "Be", "Be", "Be", "Be", "Be", "Cr", "Cr", "Cr", "Co", "Co", "Co"], "frac_coords": [[0.0000, 0.0000, 0.2458], [0.0000, 0.0000, 0.7542], [0.3333, 0.6667, 0.4209], [0.3333, 0.6667, 0.9124], [0.6667, 0.3333, 0.0876], [0.6667, 0.3333, 0.5791], [0.0000, 0.0000, 0.0000], [0.3333, 0.6667, 0.6667], [0.6667, 0.3333, 0.3333], [0.0000, 0.0000, 0.5000], [0.3333, 0.6667, 0.1667], [0.6667, 0.3333, 0.8333]], "volume_a3_per_atom": 9.8}


Which of them is the most stable? Correct choice: model A.